Pm4GeO3 | GGA-PBE | optimized geometry

Computed properties:
Uncorrected formation energy (eV per formula unit): -15.718
SG: Pm-3n
DOS(E_F) (states/eV/f.u.): 2.02

Unit cell a=6.916 b=6.916 c=6.916 alpha=90.00 beta=90.00 gamma=90.00
Sites, in units of the cell vectors:
Pm 0.250 0.250 0.250
Pm 0.250 0.250 0.750
Pm 0.250 0.750 0.250
Pm 0.250 0.750 0.750
Pm 0.750 0.250 0.250
Pm 0.750 0.250 0.750
Pm 0.750 0.750 0.250
Pm 0.750 0.750 0.750
Ge 0.000 0.000 0.000
Ge 0.500 0.500 0.500
O 0.000 0.250 0.500
O 0.000 0.750 0.500
O 0.250 0.500 0.000
O 0.500 0.000 0.250
O 0.500 0.000 0.750
O 0.750 0.500 0.000